A relaxed Rb2MnNbO4 crystal. Source: Alexandria, functional GGA+U.

Computed properties:
Total DFT energy (no corrections) (eV per formula unit): -54.2
V (Å³/cell): 308.9
Size of the total moment (μB per formula unit): 5.99

Unit cell a=6.2427 b=6.2427 c=7.9263 alpha=90.00 beta=90.00 gamma=90.00
Closest atoms and distances in Å follow each position.
Space group I-4 (No. 82)
One atom of each set of equivalent atoms:
Rb 0.0000 0.0000 0.0000 x2  4 O 2.91
Rb 0.0000 0.5000 0.2500 x2  8 O 3.08-3.26
Mn 0.0000 0.5000 0.7500 x2  4 O 2.08
Nb 0.0000 0.0000 0.5000 x2  4 O 1.95
O 0.1236 0.2564 0.5999 x8  1 Nb 1.95, 1 Mn 2.08